## SmInPt (GGA-PBE)

Data for a relaxed SmInPt crystal.

a = 6.193 Å, b = 6.193 Å, c = 6.193 Å
α = 147.33°, β = 147.33°, γ = 46.87°
Fractional positions:
Sm1 0.000 0.000 0.000
In1 0.707 0.707 0.000
Pt1 0.345 0.345 0.000

The value obtained for the calculated formation energy is -0.7027 eV/atom. The space group is I4mm, No. 107. The total magnetization comes out at 0.00 μB per formula unit.

## Sm12InPt6 (GGA-PBE)

Data for a relaxed Sm12InPt6 crystal.

a = 8.848 Å, b = 8.848 Å, c = 8.848 Å
α = 109.47°, β = 109.47°, γ = 109.47°
Fractional positions:
Sm1 0.121 0.302 0.820
Sm2 0.180 0.482 0.302
Sm3 0.180 0.879 0.698
Sm4 0.302 0.180 0.482
Sm5 0.302 0.820 0.121
Sm6 0.482 0.302 0.180
Sm7 0.518 0.698 0.820
Sm8 0.698 0.180 0.879
Sm9 0.698 0.820 0.518
Sm10 0.820 0.121 0.302
Sm11 0.820 0.518 0.698
Sm12 0.879 0.698 0.180
In1 0.000 0.000 0.000
Pt1 0.136 0.500 0.636
Pt2 0.364 0.864 0.500
Pt3 0.500 0.364 0.864
Pt4 0.500 0.636 0.136
Pt5 0.636 0.136 0.500
Pt6 0.864 0.500 0.364

The value obtained for the calculated formation energy is -0.7909 eV/atom. The space group is Im-3, No. 204. The total magnetization comes out at 0.00 μB per formula unit.

## Sm3InPt8 (GGA-PBE)

Data for a relaxed Sm3InPt8 crystal.

a = 9.455 Å, b = 9.455 Å, c = 9.455 Å
α = 33.63°, β = 33.63°, γ = 33.63°
Fractional positions:
Sm1 0.000 0.000 0.000
Sm2 0.128 0.128 0.128
Sm3 0.512 0.512 0.512
In1 0.637 0.637 0.637
Pt1 0.068 0.068 0.564
Pt2 0.068 0.564 0.068
Pt3 0.070 0.567 0.567
Pt4 0.317 0.317 0.317
Pt5 0.564 0.068 0.068
Pt6 0.567 0.070 0.567
Pt7 0.567 0.567 0.070
Pt8 0.817 0.817 0.817

The value obtained for the calculated formation energy is -0.9629 eV/atom. The space group is R3m, No. 160. The total magnetization comes out at 0.00 μB per formula unit.

## SmInPt (GGA-PBE)

Data for a relaxed SmInPt crystal.

a = 5.339 Å, b = 4.445 Å, c = 6.355 Å
α = 90.00°, β = 101.69°, γ = 90.00°
Fractional positions:
Sm1 0.092 0.250 0.265
Sm2 0.908 0.750 0.735
In1 0.399 0.250 0.829
In2 0.601 0.750 0.171
Pt1 0.348 0.750 0.536
Pt2 0.652 0.250 0.464

The value obtained for the calculated formation energy is -0.7738 eV/atom. The space group is P2_1/m, No. 11. The total magnetization comes out at 0.00 μB per formula unit.

## Sm3In4Pt4 (GGA-PBE)

Data for a relaxed Sm3In4Pt4 crystal.

a = 8.999 Å, b = 8.999 Å, c = 8.999 Å
α = 154.37°, β = 127.14°, γ = 59.64°
Fractional positions:
Sm1 0.000 0.000 0.000
Sm2 0.387 0.887 0.500
Sm3 0.613 0.113 0.500
In1 0.027 0.330 0.697
In2 0.367 0.670 0.697
In3 0.633 0.330 0.303
In4 0.973 0.670 0.303
Pt1 0.235 0.235 0.000
Pt2 0.298 0.500 0.798
Pt3 0.702 0.500 0.202
Pt4 0.765 0.765 0.000

The value obtained for the calculated formation energy is -0.8631 eV/atom. The space group is Immm, No. 71. The total magnetization comes out at 0.00 μB per formula unit.

## Sm3InPt (GGA-PBE)

Data for a relaxed Sm3InPt crystal.

a = 6.620 Å, b = 6.620 Å, c = 9.805 Å
α = 96.38°, β = 96.38°, γ = 42.32°
Fractional positions:
Sm1 0.091 0.091 0.370
Sm2 0.347 0.347 0.895
Sm3 0.369 0.369 0.333
Sm4 0.631 0.631 0.667
Sm5 0.653 0.653 0.105
Sm6 0.909 0.909 0.630
In1 0.079 0.079 0.897
In2 0.921 0.921 0.103
Pt1 0.266 0.266 0.604
Pt2 0.734 0.734 0.396

The value obtained for the calculated formation energy is -0.6274 eV/atom. The space group is C2/m, No. 12. The total magnetization comes out at 0.00 μB per formula unit.

## SmInPt (GGA-PBE)

Data for a relaxed SmInPt crystal.

a = 4.784 Å, b = 4.784 Å, c = 4.784 Å
α = 60.00°, β = 60.00°, γ = 60.00°
Fractional positions:
Sm1 0.000 0.000 0.000
In1 0.500 0.500 0.500
Pt1 0.250 0.250 0.250

The value obtained for the calculated formation energy is -0.8279 eV/atom. The space group is F-43m, No. 216. The total magnetization comes out at 0.00 μB per formula unit.

## Sm4In3Pt (GGA-PBE)

Data for a relaxed Sm4In3Pt crystal.

a = 3.641 Å, b = 3.641 Å, c = 16.140 Å
α = 90.00°, β = 90.00°, γ = 90.00°
Fractional positions:
Sm1 0.000 0.000 0.106
Sm2 0.000 0.000 0.369
Sm3 0.000 0.000 0.631
Sm4 0.000 0.000 0.894
In1 0.500 0.500 0.240
In2 0.500 0.500 0.500
In3 0.500 0.500 0.760
Pt1 0.500 0.500 0.000

The value obtained for the calculated formation energy is -0.6431 eV/atom. The space group is P4/mmm, No. 123. The total magnetization comes out at 0.00 μB per formula unit.

## Sm5In2Pt (GGA-PBE)

Data for a relaxed Sm5In2Pt crystal.

a = 7.521 Å, b = 12.706 Å, c = 4.898 Å
α = 90.00°, β = 90.00°, γ = 90.00°
Fractional positions:
Sm1 0.000 0.000 0.000
Sm2 0.131 0.289 0.000
Sm3 0.181 0.578 0.500
Sm4 0.319 0.078 0.500
Sm5 0.369 0.789 0.000
Sm6 0.500 0.500 0.000
Sm7 0.631 0.211 0.000
Sm8 0.681 0.922 0.500
Sm9 0.819 0.422 0.500
Sm10 0.869 0.711 0.000
In1 0.089 0.836 0.500
In2 0.411 0.336 0.500
In3 0.589 0.664 0.500
In4 0.911 0.164 0.500
Pt1 0.000 0.500 0.000
Pt2 0.500 0.000 0.000

The value obtained for the calculated formation energy is -0.5555 eV/atom. The space group is Pbam, No. 55. The total magnetization comes out at 0.00 μB per formula unit.

## SmInSnPt3 (GGA-PBE)

Data for a relaxed SmInSnPt3 crystal.

a = 9.376 Å, b = 9.376 Å, c = 5.687 Å
α = 90.00°, β = 90.00°, γ = 144.74°
Fractional positions:
Sm1 0.212 0.788 0.750
Sm2 0.788 0.212 0.250
In1 0.396 0.604 0.250
In2 0.604 0.396 0.750
Sn1 0.098 0.902 0.250
Sn2 0.902 0.098 0.750
Pt1 0.247 0.753 0.250
Pt2 0.254 0.254 0.000
Pt3 0.254 0.254 0.500
Pt4 0.746 0.746 0.000
Pt5 0.746 0.746 0.500
Pt6 0.753 0.247 0.750

The value obtained for the calculated formation energy is -0.5788 eV/atom. The space group is Cmcm, No. 63. The total magnetization comes out at 0.00 μB per formula unit.

## TbSmInPt (GGA-PBE)

Data for a relaxed TbSmInPt crystal.

a = 5.196 Å, b = 5.196 Å, c = 5.196 Å
α = 60.00°, β = 60.00°, γ = 60.00°
Fractional positions:
Tb1 0.000 0.000 0.000
Sm1 0.500 0.500 0.500
In1 0.750 0.750 0.750
Pt1 0.250 0.250 0.250

The value obtained for the calculated formation energy is -0.7090 eV/atom. The space group is F-43m, No. 216. The total magnetization comes out at 0.00 μB per formula unit.

## SmYInPt (GGA-PBE)

Data for a relaxed SmYInPt crystal.

a = 5.188 Å, b = 5.188 Å, c = 5.188 Å
α = 60.00°, β = 60.00°, γ = 60.00°
Fractional positions:
Sm1 0.000 0.000 0.000
Y1 0.500 0.500 0.500
In1 0.750 0.750 0.750
Pt1 0.250 0.250 0.250

The value obtained for the calculated formation energy is -0.7211 eV/atom. The space group is F-43m, No. 216. The total magnetization comes out at 0.00 μB per formula unit.